InFeN2F: optimized geometry, PBE with a Hubbard U.

Structure (CIF):
```
data_InFeN2F
_symmetry_space_group_name_H-M 'P 1'
_symmetry_Int_Tables_number 1
_symmetry_space_group_name_Hall 'P 1'
_cell_length_a 4.2061
_cell_length_b 4.2061
_cell_length_c 4.1999
_cell_angle_alpha 90.00
_cell_angle_beta 90.00
_cell_angle_gamma 90.00
loop_
_atom_site_label
_atom_site_type_symbol
_atom_site_fract_x
_atom_site_fract_y
_atom_site_fract_z
In1 In 0.0000 0.0000 0.0000
Fe1 Fe 0.5000 0.5000 0.5000
N1 N 0.0000 0.5000 0.0000
N2 N 0.5000 0.0000 0.0000
F1 F 0.0000 0.0000 0.5000
```

Values from the calculation:
Symmetry ... No. 123
Total DFT energy (no corrections) ... -4.53 eV/atom
Fermi-level density of states ... 2.405 states/eV/cell
ΔE to the lowest computed polymorph ... 14.710 kcal/mol of atoms